# 1
The following is a DFT calculation (PBE-GGA) of DyGe2Ru after structural relaxation.

a = 4.1972 Å, b = 4.1972 Å, c = 5.4492 Å
α = 67.35°, β = 67.35°, γ = 60.00°
Positions (direct):
Dy: 0.0000 0.0000 0.0000
Ru: 0.5000 0.5000 0.5000
Ge: 0.7784 0.7784 0.6648
Ge: 0.2216 0.2216 0.3352

Calculated values
E_form: -599 meV per atom
SG: R-3m

***

# 2
The following is a DFT calculation (PBE-GGA) of K2PuAgS4 after structural relaxation.

a = 3.9870 Å, b = 7.7815 Å, c = 7.1469 Å
α = 68.59°, β = 90.00°, γ = 90.00°
Each line ends with the local moment (μB).
Positions (direct):
K: 0.5000 0.0000 0.5000  -0.01
K: 0.0000 0.0000 0.0000  0.00
Pu: 0.0000 0.5000 0.5000  4.44
Ag: 0.5000 0.5000 0.0000  -0.10
S: 0.5000 0.2834 0.7034  -0.15
S: 0.5000 0.7166 0.2966  -0.15
S: 0.0000 0.6720 0.7684  -0.17
S: 0.0000 0.3280 0.2316  -0.17

Calculated values
Formation energy (no corrections): -1.0023 eV/atom
SG: P2/m

***

# 3
The following is a DFT calculation (PBE-GGA) of GaTcN2 after structural relaxation.

a = 6.6681 Å, b = 6.6681 Å, c = 6.6681 Å
α = 24.88°, β = 24.88°, γ = 24.88°
Positions (direct):
N: 0.8974 0.8974 0.8974
N: 0.1026 0.1026 0.1026
Ga: 0.0000 0.0000 0.0000
Tc: 0.5000 0.5000 0.5000

Calculated values
Formation energy (no corrections): 0.1471 eV/atom
SG: R-3m

***

Values of Fermi-level density of states, in order: 2.10, 9.30, 0.95, all in states/eV per cell.